Below is a relaxed RuAuBr crystal, with properties calculated at the PBE level.

Results
- M_tot: 0.00 Bohr magnetons per cell
- Formation energy from raw total energies: 0.4213 eV/atom
- Relative energy among the computed polymorphs: 0.0 meV per atom

abc: 3.6040 3.6040 6.1492
angles: 90.00 90.00 120.00
Space group P3m1 (No. 156)
Asymmetric unit:
Ru1 0.0000 0.0000 0.0000 x1
Au1 0.6667 0.3333 0.2692 x1
Br1 0.3333 0.6667 0.7911 x1